# 1
{
  "formula": "Ho3Mg3CdInAg",
  "functional": "PBE",
  "state": "optimized geometry",
  "sg": "P-6 (174)",
  "final_energy_ev_per_cell": -27.58,
  "magnetic_moment_mub_per_fu": 0.02,
  "crystal_system": "hexagonal",
  "lattice_angstrom": [[7.7187, 0.0000, 0.0000], [-3.8594, 6.6846, 0.0000], [0.0000, 0.0000, 4.2726]],
  "species": ["Ho", "Ho", "Ho", "Mg", "Mg", "Mg", "Cd", "In", "Ag"],
  "fractional_positions": [[0.0028, 0.4096, 0.0000], [0.4069, 0.9972, 0.0000], [0.5904, 0.5931, 0.0000], [0.0010, 0.7573, 0.5000], [0.2427, 0.2437, 0.5000], [0.7563, 0.9990, 0.5000], [0.3333, 0.6667, 0.5000], [0.6667, 0.3333, 0.5000], [0.0000, 0.0000, 0.0000]]
}

# 2
{
  "formula": "DyHoPI2",
  "functional": "PBE",
  "state": "optimized geometry",
  "sg": "P3m1 (156)",
  "final_energy_ev_per_cell": -25.27,
  "magnetic_moment_mub_per_fu": 0.01,
  "crystal_system": "trigonal",
  "lattice_angstrom": [[4.0886, 0.0000, 0.0000], [-2.0443, 3.5408, 0.0000], [0.0000, 0.0000, 10.7856]],
  "species": ["Dy", "Ho", "P", "I", "I"],
  "fractional_positions": [[0.0000, 0.0000, 0.0000], [0.3333, 0.6667, 0.2739], [0.6667, 0.3333, 0.1380], [0.0000, 0.0000, 0.4634], [0.3333, 0.6667, 0.8095]]
}

# 3
{
  "formula": "Dy3Al3CuIr2",
  "functional": "PBE",
  "state": "optimized geometry",
  "sg": "P-62m (189)",
  "final_energy_ev_per_cell": -53.21,
  "magnetic_moment_mub_per_fu": 0.00,
  "crystal_system": "hexagonal",
  "lattice_angstrom": [[6.9973, 0.0000, 0.0000], [-3.4986, 6.0598, 0.0000], [0.0000, 0.0000, 4.0482]],
  "species": ["Dy", "Dy", "Dy", "Al", "Al", "Al", "Cu", "Ir", "Ir"],
  "fractional_positions": [[0.0000, 0.5861, 0.0000], [0.4139, 0.4139, 0.0000], [0.5861, 0.0000, 0.0000], [0.0000, 0.2408, 0.5000], [0.2408, 0.0000, 0.5000], [0.7592, 0.7592, 0.5000], [0.0000, 0.0000, 0.0000], [0.3333, 0.6667, 0.5000], [0.6667, 0.3333, 0.5000]]
}

What did the third record say?
{
  "formula": "Dy3Al3CuIr2",
  "functional": "PBE",
  "state": "optimized geometry",
  "sg": "P-62m (189)",
  "final_energy_ev_per_cell": -53.21,
  "magnetic_moment_mub_per_fu": 0.00,
  "crystal_system": "hexagonal",
  "lattice_angstrom": [[6.9973, 0.0000, 0.0000], [-3.4986, 6.0598, 0.0000], [0.0000, 0.0000, 4.0482]],
  "species": ["Dy", "Dy", "Dy", "Al", "Al", "Al", "Cu", "Ir", "Ir"],
  "fractional_positions": [[0.0000, 0.5861, 0.0000], [0.4139, 0.4139, 0.0000], [0.5861, 0.0000, 0.0000], [0.0000, 0.2408, 0.5000], [0.2408, 0.0000, 0.5000], [0.7592, 0.7592, 0.5000], [0.0000, 0.0000, 0.0000], [0.3333, 0.6667, 0.5000], [0.6667, 0.3333, 0.5000]]
}